A plane-wave DFT calculation with PBE-GGA was carried out for crystalline K12Rb2Na5 at its relaxed geometry.

Results
Its space group is C2/m. Its spin magnetization is 0.000 μB per atom. The crystal system is monoclinic. The calculation puts the formation energy at 0.07 eV/atom.

Unit cell a=9.366 b=12.118 c=12.918 alpha=98.68 beta=90.00 gamma=112.73
Sites, in units of the cell vectors:
K  0.877  0.754  0.180
K  0.038  0.607  0.863
K  0.568  0.607  0.863
K  0.109  0.701  0.441
K  0.593  0.701  0.441
K  0.484  0.968  0.675
K  0.516  0.032  0.325
K  0.891  0.299  0.559
K  0.407  0.299  0.559
K  0.962  0.393  0.137
K  0.432  0.393  0.137
K  0.123  0.246  0.820
Rb  0.742  0.000  0.000
Rb  0.258  0.000  0.000
Na  0.290  0.580  0.640
Na  0.355  0.710  0.133
Na  0.000  0.000  0.500
Na  0.645  0.290  0.867
Na  0.710  0.420  0.360